{
  "formula": "AcPm4Nd3",
  "functional": "PBE",
  "state": "relaxed",
  "sg": "Pmn2_1, No. 31",
  "de_polymorph_mev_per_atom": 0,
  "lattice": [[-5.6154, 2.6566, 4.0429], [-0.8985, -6.6550, 3.1250], [6.7090, 2.6517, 7.5760]],
  "species": ["Ac", "Ac", "Nd", "Nd", "Nd", "Nd", "Nd", "Nd", "Pm", "Pm", "Pm", "Pm", "Pm", "Pm", "Pm", "Pm"],
  "frac_coords": [[0.4995, 0.8105, 0.0000], [0.5005, 0.3105, 0.5000], [0.0005, 0.3107, 0.0000], [0.2456, 0.0606, 0.7498], [0.7544, 0.5606, 0.7502], [0.9995, 0.8107, 0.5000], [0.7544, 0.5606, 0.2498], [0.2456, 0.0606, 0.2502], [0.0000, 0.8106, 0.0000], [0.5000, 0.3105, 0.0000], [0.7543, 0.0606, 0.7503], [0.2457, 0.5606, 0.7497], [0.5000, 0.8105, 0.5000], [0.0000, 0.3106, 0.5000], [0.2457, 0.5606, 0.2503], [0.7543, 0.0606, 0.2497]]
}


{
  "formula": "AcPm2Nd8",
  "functional": "PBE",
  "state": "relaxed",
  "sg": "Immm, No. 71",
  "de_polymorph_mev_per_atom": 0,
  "lattice": [[5.4388, 0.0000, -1.6515], [-1.0515, 7.7872, -3.4630], [-0.0328, -0.4366, 9.6733]],
  "species": ["Ac", "Pm", "Pm", "Nd", "Nd", "Nd", "Nd", "Nd", "Nd", "Nd", "Nd"],
  "frac_coords": [[0.5000, 0.0000, 0.0000], [0.2004, 0.7004, 0.4008], [0.7996, 0.2996, 0.5992], [0.6442, 0.8472, 0.2884], [0.3559, 0.5589, 0.7117], [0.1588, 0.1589, 0.3177], [0.0000, 0.2965, 0.0000], [0.8412, 0.8411, 0.6823], [0.6441, 0.4411, 0.2883], [0.3558, 0.1528, 0.7116], [0.0000, 0.7035, 0.0000]]
}


{
  "formula": "Ac4PmNd2",
  "functional": "PBE",
  "state": "relaxed",
  "sg": "Imma, No. 74",
  "de_polymorph_mev_per_atom": 7,
  "lattice": [[7.3393, 0.0000, 0.0000], [3.6696, 8.8133, -1.3232], [3.6696, 1.6178, 8.7640]],
  "species": ["Ac", "Ac", "Ac", "Ac", "Ac", "Ac", "Ac", "Ac", "Pm", "Pm", "Nd", "Nd", "Nd", "Nd"],
  "frac_coords": [[0.1532, 0.3540, 0.3396], [0.1532, 0.8396, 0.8540], [0.2433, 0.2384, 0.7384], [0.7799, 0.2384, 0.7384], [0.2201, 0.7616, 0.2616], [0.8468, 0.1604, 0.1460], [0.7567, 0.7616, 0.2616], [0.8468, 0.6460, 0.6604], [0.0000, 0.5000, 0.0000], [0.5000, 0.5000, 0.0000], [0.2759, 0.9741, 0.4741], [0.5000, 0.0000, 0.0000], [0.5000, 0.5000, 0.5000], [0.7241, 0.0259, 0.5259]]
}


{
  "formula": "AcPm5Nd",
  "functional": "PBE",
  "state": "relaxed",
  "sg": "C2/c, No. 15",
  "lattice": [[-1.6206, 4.0957, -5.1634], [-6.3452, -1.5068, 1.8787], [4.4859, 7.2722, 8.7952]],
  "species": ["Ac", "Ac", "Pm", "Pm", "Pm", "Pm", "Pm", "Pm", "Pm", "Pm", "Pm", "Pm", "Nd", "Nd"],
  "frac_coords": [[0.0000, 0.0000, 0.0000], [0.0000, 0.0000, 0.5000], [0.3844, 0.0311, 0.8331], [0.4670, 0.7610, 0.5350], [0.0311, 0.3844, 0.3331], [0.8296, 0.1704, 0.7500], [0.2390, 0.5330, 0.9650], [0.7610, 0.4670, 0.0350], [0.1704, 0.8296, 0.2500], [0.9689, 0.6156, 0.6669], [0.5330, 0.2390, 0.4650], [0.6156, 0.9689, 0.1669], [0.4890, 0.5110, 0.7500], [0.5110, 0.4890, 0.2500]]
}


{
  "formula": "Ac2Pm7Nd3",
  "functional": "PBE",
  "state": "relaxed",
  "sg": "P2/m, No. 10",
  "de_polymorph_mev_per_atom": 0,
  "lattice": [[-0.8723, -1.5948, 3.1939], [-2.7638, -4.9801, -3.2417], [14.0179, -12.1936, -2.2601]],
  "species": ["Ac", "Ac", "Pm", "Pm", "Pm", "Pm", "Pm", "Pm", "Pm", "Nd", "Nd", "Nd"],
  "frac_coords": [[0.5000, 0.6162, 0.3269], [0.5000, 0.3838, 0.6731], [0.5000, 0.2399, 0.5002], [0.5000, 0.7601, 0.4998], [0.0000, 0.5626, 0.1606], [0.0000, 0.0000, 0.0000], [0.0000, 0.4374, 0.8394], [0.5000, 0.9348, 0.8366], [0.5000, 0.0652, 0.1634], [0.5000, 0.5000, 0.0000], [0.0000, 0.1134, 0.3388], [0.0000, 0.8866, 0.6612]]
}


{
  "formula": "Ac3PmNd",
  "functional": "PBE",
  "state": "relaxed",
  "sg": "C2/m, No. 12",
  "de_polymorph_mev_per_atom": 0,
  "lattice": [[3.8862, 0.0000, 0.0000], [0.0000, 10.7914, 1.3487], [-1.9431, 1.3975, 9.9098]],
  "species": ["Ac", "Ac", "Ac", "Ac", "Ac", "Ac", "Pm", "Pm", "Nd", "Nd"],
  "frac_coords": [[0.9982, 0.7379, 0.9963], [0.0018, 0.2621, 0.0037], [0.3982, 0.0458, 0.7965], [0.6018, 0.9542, 0.2035], [0.2011, 0.6516, 0.4023], [0.7989, 0.3484, 0.5977], [0.7994, 0.8505, 0.5988], [0.2006, 0.1495, 0.4012], [0.6037, 0.4460, 0.2073], [0.3963, 0.5540, 0.7927]]
}


{
  "formula": "Ac11Pm9Nd4",
  "functional": "PBE",
  "state": "relaxed",
  "sg": "Cmmm, No. 65",
  "lattice": [[3.8899, 0.0000, 0.0000], [0.0000, 14.9746, -6.3706], [0.0000, 0.0267, 16.2734]],
  "species": ["Ac", "Ac", "Ac", "Ac", "Ac", "Ac", "Ac", "Ac", "Ac", "Ac", "Ac", "Pm", "Pm", "Pm", "Pm", "Pm", "Pm", "Pm", "Pm", "Pm", "Nd", "Nd", "Nd", "Nd"],
  "frac_coords": [[0.0000, 0.5967, 0.9577], [0.0000, 0.4033, 0.0423], [0.0000, 0.9577, 0.5967], [0.0000, 0.0423, 0.4033], [0.0000, 0.6315, 0.3685], [0.0000, 0.3685, 0.6315], [0.0000, 0.8406, 0.1594], [0.0000, 0.1594, 0.8406], [0.0000, 0.0000, 0.0000], [0.0000, 0.7082, 0.7082], [0.0000, 0.2918, 0.2918], [0.5000, 0.6316, 0.1666], [0.5000, 0.3684, 0.8334], [0.5000, 0.1666, 0.6316], [0.5000, 0.8334, 0.3684], [0.5000, 0.7872, 0.9316], [0.5000, 0.2128, 0.0684], [0.5000, 0.9316, 0.7872], [0.5000, 0.0684, 0.2128], [0.5000, 0.5000, 0.5000], [0.5000, 0.5556, 0.7598], [0.5000, 0.4444, 0.2402], [0.5000, 0.7598, 0.5556], [0.5000, 0.2402, 0.4444]]
}


{
  "formula": "Ac2Pm2Nd5",
  "functional": "PBE",
  "state": "relaxed",
  "sg": "C2/m, No. 12",
  "de_polymorph_mev_per_atom": 0,
  "lattice": [[-0.6703, 0.0428, 3.6187], [8.1890, -5.9445, 1.5872], [7.2193, 6.0208, -0.6057]],
  "species": ["Ac", "Ac", "Pm", "Pm", "Nd", "Nd", "Nd", "Nd", "Nd"],
  "frac_coords": [[0.4866, 0.6831, 0.9731], [0.5134, 0.3169, 0.0269], [0.8284, 0.9039, 0.6568], [0.1716, 0.0961, 0.3432], [0.6622, 0.7940, 0.3244], [0.3378, 0.2060, 0.6756], [0.8367, 0.5250, 0.6734], [0.1633, 0.4750, 0.3266], [0.0000, 0.0000, 0.0000]]
}


{
  "formula": "AcPm7Nd3",
  "functional": "PBE",
  "state": "relaxed",
  "sg": "C2/m, No. 12",
  "de_polymorph_mev_per_atom": 19,
  "lattice": [[6.6373, 0.0227, 0.4522], [0.4339, 7.7629, 1.1509], [0.0032, 0.0878, 7.8592]],
  "species": ["Ac", "Pm", "Pm", "Pm", "Pm", "Pm", "Pm", "Pm", "Nd", "Nd", "Nd"],
  "frac_coords": [[0.5000, 0.5000, 0.5000], [0.7975, 0.2342, 0.2342], [0.7405, 0.9243, 0.5742], [0.2595, 0.4258, 0.0757], [0.7405, 0.5742, 0.9243], [0.0000, 0.5000, 0.5000], [0.2595, 0.0757, 0.4258], [0.2025, 0.7658, 0.7658], [0.0000, 0.8263, 0.1737], [0.5000, 0.0000, 0.0000], [0.0000, 0.1737, 0.8263]]
}


{
  "formula": "Ac3Pm2Nd",
  "functional": "PBE",
  "state": "relaxed",
  "sg": "Immm, No. 71",
  "de_polymorph_mev_per_atom": 251,
  "lattice": [[3.6997, 0.0000, 0.0000], [0.0000, 6.3732, 0.0000], [-1.8499, -3.1866, 10.3412]],
  "species": ["Ac", "Ac", "Ac", "Pm", "Pm", "Nd"],
  "frac_coords": [[0.0000, 0.5000, 0.0000], [0.8130, 0.8130, 0.6260], [0.1870, 0.1870, 0.3740], [0.6386, 0.6386, 0.2773], [0.3614, 0.3614, 0.7227], [0.0000, 0.0000, 0.0000]]
}


{
  "formula": "Ac2Pm3Nd4",
  "functional": "PBE",
  "state": "relaxed",
  "sg": "P2_1/c, No. 14",
  "de_polymorph_mev_per_atom": 66,
  "lattice": [[-6.1443, 6.7339, 0.1908], [2.0350, -2.7867, 8.1949], [6.5928, 6.0041, 0.4046]],
  "species": ["Ac", "Ac", "Ac", "Ac", "Pm", "Pm", "Pm", "Pm", "Pm", "Pm", "Nd", "Nd", "Nd", "Nd", "Nd", "Nd", "Nd", "Nd"],
  "frac_coords": [[0.5489, 0.1747, 0.3477], [0.9511, 0.8253, 0.8477], [0.4511, 0.8253, 0.6523], [0.0489, 0.1747, 0.1523], [0.0000, 0.5000, 0.5000], [0.5000, 0.5000, 0.0000], [0.7523, 0.2479, 0.8259], [0.7477, 0.7521, 0.3259], [0.2477, 0.7521, 0.1741], [0.2523, 0.2479, 0.6741], [0.8678, 0.0838, 0.5366], [0.6322, 0.9162, 0.0366], [0.1322, 0.9162, 0.4634], [0.3678, 0.0838, 0.9634], [0.8547, 0.4821, 0.1371], [0.6453, 0.5179, 0.6371], [0.1453, 0.5179, 0.8629], [0.3547, 0.4821, 0.3629]]
}


{
  "formula": "AcPm2Nd9",
  "functional": "PBE",
  "state": "relaxed",
  "sg": "P4/mmm, No. 123",
  "lattice": [[5.2294, 0.0000, 0.0000], [0.0000, 5.2294, 0.0000], [0.0000, 0.0000, 15.7037]],
  "species": ["Ac", "Pm", "Pm", "Nd", "Nd", "Nd", "Nd", "Nd", "Nd", "Nd", "Nd", "Nd"],
  "frac_coords": [[0.0000, 0.0000, 0.0000], [0.0000, 0.0000, 0.3355], [0.0000, 0.0000, 0.6645], [0.5000, 0.5000, 0.0000], [0.5000, 0.5000, 0.3364], [0.5000, 0.5000, 0.6636], [0.5000, 0.0000, 0.1721], [0.5000, 0.0000, 0.5000], [0.5000, 0.0000, 0.8279], [0.0000, 0.5000, 0.1721], [0.0000, 0.5000, 0.5000], [0.0000, 0.5000, 0.8279]]
}


Record-wise energy relative to the elements values, in eV per atom: 0.02, 0.11, 0.25, 0.09, 0.09, 0.04, 0.08, 0.10, 0.20, 0.35, 0.14, 0.02